The following is a DFT calculation (PBE+U) of an optimized crystal structure of RbNaCoO2.

Cell: 5.6672 11.7615 6.8284 Å, 90.00 90.00 90.00°
Space group Cmme (No. 67)
Asymmetric unit:
Rb: 0.0000 0.2500 0.1858
Na: 0.0000 0.0000 0.5000
Co: 0.2500 0.0000 0.0000
O: 0.0000 0.0044 0.1805

D(E_F) = 0.333 states/eV/atom
DFT total energy = -86.9 eV/cell
total magnetic moment = 0.316 μB per atom